Compound: TaTlRu2Pt
Source: Alexandria
Functional: PBE
Structure: relaxed Values from VASP.

Properties
**Calculated volume**: 115.6 Å³/cell
**Formation energy from the elements**: 753.0 kJ/mol of formula units

The structure in Quantum ESPRESSO input format:
```
&SYSTEM
  ibrav = 0, nat = 5, ntyp = 4
/
ATOMIC_SPECIES
Ru 101.07 Ru.upf
Ta 180.95 Ta.upf
Tl 204.38 Tl.upf
Pt 195.08 Pt.upf
CELL_PARAMETERS angstrom
-4.1030 1.5536 -1.5597
-0.9271 -4.7314 -2.2741
-2.0471 -1.4792 3.9119
ATOMIC_POSITIONS crystal
Ru 0.5000 0.0000 0.0000
Ta 0.0000 0.0000 0.0000
Tl 0.0000 0.5000 0.0000
Pt 0.5000 0.5000 0.5000
Ru 0.0000 0.0000 0.5000
```